Pm8Tl2Ni: optimized geometry, PBE.

Properties
Total energy = -4.582 eV/atom
Calculated formation energy = -171 meV/atom
Density of states at the Fermi level = 11.3 states/eV per cell
Total magnetic moment = 0.0000 μB/atom
V = 333 Å³ per cell
Relative energy among the computed polymorphs = 0.0 meV per atom

Lattice parameters (Å, degrees): 9.3433 9.3433 5.8424 108.01 108.01 122.07
Last column: nearest neighbours and their distance in Å.
Fractional positions:
1 Pm 0.0000 0.0000 0.0000  1 Ni 3.14, 2 Tl 3.35
2 Pm 0.2232 0.4511 0.7564  1 Ni 2.80
3 Pm 0.4084 0.8113 0.5714  4 Tl 3.31-3.51, 5 Pm 3.42-3.57
4 Pm 0.4511 0.2232 0.7564  1 Ni 2.80
5 Pm 0.5119 0.5119 0.3586  1 Ni 2.66
6 Pm 0.7254 0.9528 0.3351  1 Ni 2.73
7 Pm 0.8113 0.4084 0.5714  4 Tl 3.31-3.51, 5 Pm 3.42-3.57
8 Pm 0.9528 0.7254 0.3351  1 Ni 2.73
9 Tl 0.3119 0.9151 0.0670  9 Pm 3.31-3.63
10 Tl 0.9151 0.3119 0.0670  9 Pm 3.31-3.63
11 Ni 0.6158 0.6158 0.8999  5 Pm 2.66-2.80